First-principles (PBE) data for Cr2CuAg2S6 after structural relaxation, as listed in the Alexandria database.

abc: 5.929 5.929 7.510
angles: 98.43 98.43 118.31
Sites, in units of the cell vectors:
Cr  0.146  0.854  0.000
Cr  0.854  0.146  0.000
Cu  0.500  0.500  0.000
Ag  0.334  0.666  0.500
Ag  0.666  0.334  0.500
S  0.077  0.077  0.798
S  0.223  0.567  0.169
S  0.433  0.777  0.831
S  0.567  0.223  0.169
S  0.777  0.433  0.831
S  0.923  0.923  0.202

Output
- crystal system = monoclinic
- calculated density (g/cm³) = 4.292
- formation energy from raw total energies (eV per atom) = -0.292